Here is AsSeCl2 after structural relaxation from the Alexandria database. Energies are from PBE.

Cell: 3.172 5.947 4.456 Å, 90.00 90.00 90.00°
Fractional positions:
Se 0.500 0.000 0.500
Cl 0.500 0.500 0.000
Cl 0.000 0.000 0.000
As 0.000 0.500 0.500

Calculated values
DOS(E_F) (states/eV/f.u.): 1.81
Uncorrected formation energy (meV/atom): 342
Polymorph energy (0 for the lowest one) (eV/atom): 0.666

Here is Mg2Ru after structural relaxation from the Alexandria database. Energies are from PBE.

Cell: 5.407 5.407 4.399 Å, 90.00 90.00 102.84°
Fractional positions:
Ru 0.075 0.925 0.250
Ru 0.925 0.075 0.750
Mg 0.583 0.873 0.250
Mg 0.873 0.583 0.750
Mg 0.417 0.127 0.750
Mg 0.127 0.417 0.250

Calculated values
DOS(E_F) (states/eV/f.u.): 1.68
Formation enthalpy at 0 K (meV/atom): 113

Here is LaTm2Ir after structural relaxation from the Alexandria database. Energies are from PBE.

Cell: 6.466 7.300 9.324 Å, 90.00 90.00 90.00°
Fractional positions:
Tm 0.334 0.173 0.434
Tm 0.666 0.827 0.934
Tm 0.166 0.673 0.434
Tm 0.334 0.173 0.066
Tm 0.834 0.327 0.566
Tm 0.166 0.673 0.066
Tm 0.834 0.327 0.934
Tm 0.666 0.827 0.566
La 0.866 0.039 0.250
La 0.134 0.961 0.750
La 0.366 0.461 0.750
La 0.634 0.539 0.250
Ir 0.433 0.878 0.250
Ir 0.067 0.378 0.250
Ir 0.567 0.122 0.750
Ir 0.933 0.622 0.750

Calculated values
DOS(E_F) (states/eV/f.u.): 4.23
Polymorph energy (0 for the lowest one) (eV/atom): 0.000
Formation enthalpy at 0 K (meV/atom): -577

Here is Li2PrIn9 after structural relaxation from the Alexandria database. Energies are from PBE.

Cell: 4.609 4.609 13.965 Å, 90.00 90.00 90.00°
Fractional positions:
In 0.500 0.000 0.178
In 0.500 0.500 0.335
In 0.000 0.500 0.822
In 0.500 0.000 0.500
In 0.000 0.500 0.500
In 0.500 0.500 0.665
In 0.000 0.500 0.178
In 0.500 0.500 0.000
In 0.500 0.000 0.822
Pr 0.000 0.000 0.000
Li 0.000 0.000 0.332
Li 0.000 0.000 0.668

Calculated values
DOS(E_F) (states/eV/f.u.): 4.94
Formation enthalpy at 0 K (meV/atom): -226

Here is ReIBrO2 after structural relaxation from the Alexandria database. Energies are from PBE.

Cell: 3.962 3.962 5.807 Å, 90.00 90.00 90.00°
Fractional positions:
I 0.000 0.000 0.500
O 0.000 0.500 0.000
O 0.500 0.000 0.000
Re 0.000 0.000 0.000
Br 0.500 0.500 0.500

Calculated values
DOS(E_F) (states/eV/f.u.): 1.94
Uncorrected formation energy (meV/atom): -381
Polymorph energy (0 for the lowest one) (eV/atom): 0.000

Here is CaFeTc2 after structural relaxation from the Alexandria database. Energies are from PBE.

Cell: 4.779 4.779 5.435 Å, 75.36 75.36 38.33°
Fractional positions:
Fe 0.283 0.283 0.160
Tc 0.999 0.999 0.994
Tc 0.716 0.716 0.855
Ca 0.502 0.502 0.491

Calculated values
DOS(E_F) (states/eV/f.u.): 4.05
Polymorph energy (0 for the lowest one) (eV/atom): 0.121
Formation enthalpy at 0 K (meV/atom): 490